(1)
# In2SnBr6

A relaxed In2SnBr6 crystal (PBE, Alexandria).

The excess energy over the best structure of this formula in the dataset is 0 meV per atom. Its raw formation energy is -72.8 kJ per mole of atoms.

It has space group R3 (No. 146, hexagonal axes), with a = 7.7668 Å, b = 7.7668 Å, c = 18.9542 Å, α = 90.00°, β = 90.00° and γ = 120.00°. The asymmetric unit holds In at (0.0000, 0.0000, 0.0000), In at (0.0000, 0.0000, 0.2924), Sn at (0.0000, 0.0000, 0.4893), Br at (0.0328, 0.4319, 0.0557) and Br at (0.0714, 0.7209, 0.8854).



(2)
# TcNiAu2

A relaxed TcNiAu2 crystal (PBE, Alexandria).

For the formation energy, the calculation gives 0.406 eV/atom. The excess energy over the best structure of this formula in the dataset is 281 meV per atom.

It has space group P4/mmm (No. 123), with a = 4.798 Å, b = 4.798 Å, c = 2.750 Å, α = 90.00°, β = 90.00° and γ = 90.00°. The asymmetric unit holds Tc at (0.000, 0.000, 0.000), Ni at (0.500, 0.500, 0.000) and Au at (0.000, 0.500, 0.500).



(3)
# Mg3Cd2Pb2

A relaxed Mg3Cd2Pb2 crystal (PBE, Alexandria).

For the formation energy, the calculation gives -0.047 eV/atom. The excess energy over the best structure of this formula in the dataset is 0 meV per atom.

It has space group C2/m (No. 12), with a = 9.999 Å, b = 4.664 Å, c = 7.454 Å, α = 90.00°, β = 98.20° and γ = 90.00°. The asymmetric unit holds Mg at (0.000, 0.000, 0.000), Mg at (0.082, 0.500, 0.701), Cd at (0.130, 0.000, 0.427) and Pb at (0.206, 0.500, 0.153).



(4)
# BAs2F

A relaxed BAs2F crystal (PBE, Alexandria).

The excess energy over the best structure of this formula in the dataset is 259 meV per atom. Its raw formation energy is 26.1 kJ per mole of atoms.

It has space group Fm-3m (No. 225), with a = 5.888 Å, b = 5.888 Å, c = 5.888 Å, α = 90.00°, β = 90.00° and γ = 90.00°. The asymmetric unit holds B at (0.000, 0.000, 0.000), As at (0.250, 0.250, 0.250) and F at (0.000, 0.000, 0.500).



(5)
# NaY3Tm3Te8

A relaxed NaY3Tm3Te8 crystal (PBE, Alexandria).

Its raw formation energy is -125.0 kJ per mole of atoms.

It has space group R-3m (No. 166, hexagonal axes), with a = 8.6586 Å, b = 8.6586 Å, c = 21.2181 Å, α = 90.00°, β = 90.00° and γ = 120.00°. The asymmetric unit holds Na at (0.0000, 0.0000, 0.0000), Y at (0.0000, 0.5000, 0.5000), Tm at (0.0000, 0.5000, 0.0000), Te at (0.0000, 0.0000, 0.2516) and Te at (0.0124, 0.5062, 0.2486).



(6)
# Ba2TcPt

A relaxed Ba2TcPt crystal (PBE, Alexandria).

For the formation energy, the calculation gives 0.269 eV/atom. The excess energy over the best structure of this formula in the dataset is 310 meV per atom.

It has space group Cmm2 (No. 35), with a = 5.037 Å, b = 5.316 Å, c = 9.502 Å, α = 90.00°, β = 90.00° and γ = 90.00°. The asymmetric unit holds Ba at (0.000, 0.000, 0.000), Ba at (0.000, 0.500, 0.430), Tc at (0.000, 0.000, 0.690) and Pt at (0.000, 0.500, 0.760).



(7)
# Li3Pa3CoS8

A relaxed Li3Pa3CoS8 crystal (PBE, Alexandria).

Its raw formation energy is -124.4 kJ per mole of atoms.

It has space group R-3m (No. 166, hexagonal axes), with a = 7.5513 Å, b = 7.5513 Å, c = 18.8689 Å, α = 90.00°, β = 90.00° and γ = 120.00°. The asymmetric unit holds Li at (0.0000, 0.5000, 0.0000), Pa at (0.0000, 0.5000, 0.5000), Co at (0.0000, 0.0000, 0.5000), S at (0.0000, 0.0000, 0.2562) and S at (0.0194, 0.5097, 0.2462).



(8)
# RbNpAg2Br6

A relaxed RbNpAg2Br6 crystal (PBE, Alexandria).

Its raw formation energy is -96.1 kJ per mole of atoms.

It has space group C2/c (No. 15), with a = 14.957 Å, b = 13.896 Å, c = 8.485 Å, α = 90.00°, β = 113.70° and γ = 90.00°. The asymmetric unit holds Rb at (0.000, 0.085, 0.250), Np at (0.000, 0.277, 0.750), Ag at (0.194, 0.425, 0.083), Br at (0.099, 0.266, 0.117), Br at (0.118, 0.117, 0.702) and Br at (0.139, 0.424, 0.739).



(9)
# ThUSi4

A relaxed ThUSi4 crystal (PBE, Alexandria).

Its raw formation energy is -44.2 kJ per mole of atoms.

It has space group I-4m2 (No. 119), with a = 4.012 Å, b = 4.012 Å, c = 14.385 Å, α = 90.00°, β = 90.00° and γ = 90.00°. The asymmetric unit holds Th at (0.000, 0.000, 0.000), U at (0.000, 0.500, 0.750), Si at (0.000, 0.000, 0.414) and Si at (0.000, 0.500, 0.170).



(10)
# SbPtSeBr2

A relaxed SbPtSeBr2 crystal (PBE, Alexandria).

The excess energy over the best structure of this formula in the dataset is 0 meV per atom. Its raw formation energy is 23.1 kJ per mole of atoms.

It has space group P4/mmm (No. 123), with a = 5.073 Å, b = 5.073 Å, c = 5.059 Å, α = 90.00°, β = 90.00° and γ = 90.00°. The asymmetric unit holds Sb at (0.000, 0.000, 0.000), Pt at (0.500, 0.500, 0.500), Se at (0.500, 0.500, 0.000) and Br at (0.000, 0.500, 0.500).



(11)
# Y2ReSb

A relaxed Y2ReSb crystal (PBE, Alexandria).

Its raw formation energy is 3.8 kJ per mole of atoms.

It has space group F-43m (No. 216), with a = 7.018 Å, b = 7.018 Å, c = 7.018 Å, α = 90.00°, β = 90.00° and γ = 90.00°. The asymmetric unit holds Y at (0.000, 0.000, 0.000), Y at (0.250, 0.250, 0.250), Re at (0.250, 0.250, 0.750) and Sb at (0.000, 0.000, 0.500).



(12)
# TbNdSm2

A relaxed TbNdSm2 crystal (PBE, Alexandria).

For the formation energy, the calculation gives 0.145 eV/atom. The excess energy over the best structure of this formula in the dataset is 131 meV per atom.

It has space group Fm-3m (No. 225), with a = 8.158 Å, b = 8.158 Å, c = 8.158 Å, α = 90.00°, β = 90.00° and γ = 90.00°. The asymmetric unit holds Tb at (0.000, 0.000, 0.000), Nd at (0.000, 0.000, 0.500) and Sm at (0.250, 0.250, 0.250).



(13)
# NbCdRu2

A relaxed NbCdRu2 crystal (PBE, Alexandria).

For the formation energy, the calculation gives 0.528 eV/atom.

It has space group I-42d (No. 122), with a = 7.131 Å, b = 7.131 Å, c = 5.747 Å, α = 90.00°, β = 90.00° and γ = 90.00°. The asymmetric unit holds Nb at (0.000, 0.000, 0.000), Cd at (0.000, 0.000, 0.500) and Ru at (0.215, 0.250, 0.125).



(14)
# As2CIBr

A relaxed As2CIBr crystal (PBE, Alexandria).

The excess energy over the best structure of this formula in the dataset is 1151 meV per atom. Its raw formation energy is 228.9 kJ per mole of atoms.

It has space group P4/mmm (No. 123), with a = 5.529 Å, b = 5.529 Å, c = 5.730 Å, α = 90.00°, β = 90.00° and γ = 90.00°. The asymmetric unit holds As at (0.000, 0.500, 0.000), C at (0.000, 0.000, 0.500), I at (0.500, 0.500, 0.000) and Br at (0.500, 0.500, 0.500).



(15)
# MgRe2Sn

A relaxed MgRe2Sn crystal (PBE, Alexandria).

For the formation energy, the calculation gives 0.663 eV/atom. The excess energy over the best structure of this formula in the dataset is 0 meV per atom.

It has space group Fm-3m (No. 225), with a = 6.432 Å, b = 6.432 Å, c = 6.432 Å, α = 90.00°, β = 90.00° and γ = 90.00°. The asymmetric unit holds Mg at (0.000, 0.000, 0.000), Re at (0.250, 0.250, 0.250) and Sn at (0.000, 0.000, 0.500).



(16)
# SrGa2Ru

A relaxed SrGa2Ru crystal (PBE, Alexandria).

For the formation energy, the calculation gives -0.111 eV/atom.

It has space group I4_1/amd (No. 141, origin choice 2), with a = 5.062 Å, b = 5.062 Å, c = 16.474 Å, α = 90.00°, β = 90.00° and γ = 90.00°. The asymmetric unit holds Sr at (0.000, 0.250, 0.375), Ga at (0.000, 0.000, 0.000) and Ru at (0.000, 0.250, 0.875).



(17)
# Pr5Ho4Th

A relaxed Pr5Ho4Th crystal (PBE, Alexandria).

For the formation energy, the calculation gives 0.142 eV/atom. The excess energy over the best structure of this formula in the dataset is 0 meV per atom.

It has space group C2/m (No. 12), with a = 18.392 Å, b = 3.592 Å, c = 10.670 Å, α = 90.00°, β = 96.63° and γ = 90.00°. The asymmetric unit holds Pr at (0.000, 0.000, 0.000), Pr at (0.138, 0.500, 0.720), Pr at (0.190, 0.500, 0.100), Ho at (0.048, 0.500, 0.263), Ho at (0.180, 0.000, 0.418) and Th at (0.000, 0.000, 0.500).



(18)
# InRu2Se

A relaxed InRu2Se crystal (PBE, Alexandria).

The excess energy over the best structure of this formula in the dataset is 54 meV per atom. Its raw formation energy is 18.5 kJ per mole of atoms.

It has space group R-3m (No. 166, hexagonal axes), with a = 3.0929 Å, b = 3.0929 Å, c = 24.0087 Å, α = 90.00°, β = 90.00° and γ = 120.00°. The asymmetric unit holds In at (0.0000, 0.0000, 0.0000), Ru at (0.0000, 0.0000, 0.2414) and Se at (0.0000, 0.0000, 0.5000).



(19)
# Sm4PdRh3

A relaxed Sm4PdRh3 crystal (PBE, Alexandria).

For the formation energy, the calculation gives -0.768 eV/atom.

It has space group Pmm2 (No. 25), with a = 3.860 Å, b = 4.350 Å, c = 10.819 Å, α = 90.00°, β = 90.00° and γ = 90.00°. The asymmetric unit holds Sm at (0.000, 0.000, 0.000), Sm at (0.000, 0.500, 0.273), Sm at (0.500, 0.000, 0.489), Sm at (0.500, 0.500, 0.775), Pd at (0.000, 0.000, 0.717), Rh at (0.000, 0.500, 0.547), Rh at (0.500, 0.000, 0.220) and Rh at (0.500, 0.500, 0.042).



(20)
# Sr2TcF2

A relaxed Sr2TcF2 crystal (PBE, Alexandria).

The excess energy over the best structure of this formula in the dataset is 47 meV per atom. Its raw formation energy is -127.2 kJ per mole of atoms.

It has space group I4/mmm (No. 139), with a = 5.254 Å, b = 5.254 Å, c = 7.970 Å, α = 90.00°, β = 90.00° and γ = 90.00°. The asymmetric unit holds Sr at (0.000, 0.500, 0.250), Tc at (0.000, 0.000, 0.000) and F at (0.000, 0.000, 0.267).



Number 1: total energy -2.923 eV per atom. Number 2: total energy -5.269 eV per atom. Number 3: total energy -2.052 eV per atom. Number 4: total energy -4.192 eV per atom. Number 5: total energy -5.247 eV per atom. Number 6: total energy -4.794 eV per atom. Number 7: total energy -6.246 eV per atom. Number 8: total energy -3.961 eV per atom. Number 9: total energy -7.191 eV per atom. Number 10: total energy -3.160 eV per atom. Number 11: total energy -7.335 eV per atom. Number 12: total energy -4.564 eV per atom. Number 13: total energy -6.857 eV per atom. Number 14: total energy -1.977 eV per atom. Number 15: total energy -6.960 eV per atom. Number 16: total energy -4.364 eV per atom. Number 17: total energy -4.821 eV per atom. Number 18: total energy -6.002 eV per atom. Number 19: total energy -6.534 eV per atom. Number 20: total energy -4.813 eV per atom.